[1]
! AcLu2Pd, optimized geometry, DFT PBE-GGA; values from VASP
&SYSTEM
  ibrav = 0, nat = 4, ntyp = 3
/
ATOMIC_SPECIES
Ac 227.00 Ac.upf
Lu 174.97 Lu.upf
Pd 106.42 Pd.upf
CELL_PARAMETERS angstrom
3.968 0.000 0.000
1.984 3.436 0.000
1.984 1.145 9.274
ATOMIC_POSITIONS crystal
Ac 0.500 0.500 0.500
Lu 0.278 0.278 0.166
Lu 0.722 0.722 0.834
Pd 0.000 0.000 0.000
! Magnetization ... 0.000 μB/atom
! Fermi-level density of states ... 5.2 states/eV/cell
! Relative energy among the computed polymorphs ... 89 meV/atom
! Energy relative to the elements ... -0.325 eV per atom

***

[2]
! ThAsPt, optimized geometry, DFT PBE-GGA; values from VASP
&SYSTEM
  ibrav = 0, nat = 3, ntyp = 3
/
ATOMIC_SPECIES
As 74.92 As.upf
Pt 195.08 Pt.upf
Th 232.04 Th.upf
CELL_PARAMETERS angstrom
5.009 -0.345 -0.262
2.206 3.821 0.000
2.158 1.301 3.614
ATOMIC_POSITIONS crystal
As 0.026 0.993 0.988
Pt 0.201 0.267 0.265
Th 0.523 0.490 0.497
! Magnetization ... 0.000 μB/atom
! Fermi-level density of states ... 3.8 states/eV/cell
! Energy relative to the elements ... -0.995 eV per atom

***

[3]
! ZrNbVRe, optimized geometry, DFT PBE-GGA; values from VASP
&SYSTEM
  ibrav = 0, nat = 4, ntyp = 4
/
ATOMIC_SPECIES
Re 186.21 Re.upf
Nb 92.91 Nb.upf
Zr 91.22 Zr.upf
V 50.94 V.upf
CELL_PARAMETERS angstrom
-2.133 -2.965 -2.795
2.448 -3.066 -2.400
-0.193 -4.462 1.097
ATOMIC_POSITIONS crystal
Re 0.250 0.250 0.250
Nb 0.000 0.000 0.000
Zr 0.500 0.500 0.500
V 0.750 0.750 0.750
! Magnetization ... 0.310 μB/atom
! Fermi-level density of states ... 4.5 states/eV/cell
! Energy relative to the elements ... -0.089 eV per atom

***

- The lowest energy relative to the elements belongs to which entry?
  ThAsPt

***

- What is the energy relative to the elements in the first record?
  -0.325 eV per atom

***

- The highest magnetization belongs to which entry?
  ZrNbVRe

***

- Among the records above, which one has the highest Fermi-level density of states?
  AcLu2Pd